# AsRu2Se, optimized geometry, DFT PBE
# energy above the most stable polymorph in this dataset	504	meV per atom
data_AsRu2Se
_cell_length_a 2.989
_cell_length_b 4.090
_cell_length_c 5.236
_cell_angle_alpha 90.00
_cell_angle_beta 90.00
_cell_angle_gamma 90.00
_space_group_name_H-M_alt 'P 1'
_space_group_IT_number 1
_space_group_name_Hall 'P 1'
loop_
_atom_site_label
_atom_site_type_symbol
_atom_site_fract_x
_atom_site_fract_y
_atom_site_fract_z
As1 As 0.000 0.000 0.000
Ru1 Ru 0.000 0.500 0.500
Ru2 Ru 0.500 0.500 0.000
Se1 Se 0.500 0.000 0.500


# TbPa2Co3, optimized geometry, DFT PBE
# electronic total energy	-7.74	eV/atom
data_TbPa2Co3
_cell_length_a 6.160
_cell_length_b 6.160
_cell_length_c 6.796
_cell_angle_alpha 90.00
_cell_angle_beta 90.00
_cell_angle_gamma 68.46
_space_group_name_H-M_alt 'P 1'
_space_group_IT_number 1
_space_group_name_Hall 'P 1'
loop_
_atom_site_label
_atom_site_type_symbol
_atom_site_fract_x
_atom_site_fract_y
_atom_site_fract_z
Tb1 Tb 0.126 0.874 0.750
Tb2 Tb 0.874 0.126 0.250
Pa1 Pa 0.318 0.318 0.000
Pa2 Pa 0.318 0.318 0.500
Pa3 Pa 0.682 0.682 0.000
Pa4 Pa 0.682 0.682 0.500
Co1 Co 0.004 0.408 0.750
Co2 Co 0.383 0.617 0.250
Co3 Co 0.408 0.004 0.250
Co4 Co 0.592 0.996 0.750
Co5 Co 0.617 0.383 0.750
Co6 Co 0.996 0.592 0.250


# TbErN2, optimized geometry, DFT PBE
# electronic total energy	-7.95	eV/atom
data_TbErN2
_cell_length_a 3.402
_cell_length_b 3.402
_cell_length_c 17.673
_cell_angle_alpha 90.00
_cell_angle_beta 90.00
_cell_angle_gamma 120.00
_space_group_name_H-M_alt 'P 1'
_space_group_IT_number 1
_space_group_name_Hall 'P 1'
loop_
_atom_site_label
_atom_site_type_symbol
_atom_site_fract_x
_atom_site_fract_y
_atom_site_fract_z
Tb1 Tb 0.000 0.000 0.000
Tb2 Tb 0.333 0.667 0.667
Tb3 Tb 0.667 0.333 0.333
Er1 Er 0.000 0.000 0.171
Er2 Er 0.333 0.667 0.837
Er3 Er 0.667 0.333 0.504
N1 N 0.000 0.000 0.584
N2 N 0.000 0.000 0.756
N3 N 0.333 0.667 0.251
N4 N 0.333 0.667 0.423
N5 N 0.667 0.333 0.090
N6 N 0.667 0.333 0.917


# Ce5ThAu6, optimized geometry, DFT PBE
# electronic total energy	-5.33	eV/atom
data_Ce5ThAu6
_cell_length_a 8.616
_cell_length_b 8.616
_cell_length_c 5.353
_cell_angle_alpha 105.98
_cell_angle_beta 105.98
_cell_angle_gamma 50.75
_space_group_name_H-M_alt 'P 1'
_space_group_IT_number 1
_space_group_name_Hall 'P 1'
loop_
_atom_site_label
_atom_site_type_symbol
_atom_site_fract_x
_atom_site_fract_y
_atom_site_fract_z
Ce1 Ce 0.000 0.000 0.000
Ce2 Ce 0.167 0.167 0.741
Ce3 Ce 0.318 0.318 0.242
Ce4 Ce 0.682 0.682 0.758
Ce5 Ce 0.833 0.833 0.259
Th1 Th 0.500 0.500 0.000
Au1 Au 0.093 0.576 0.740
Au2 Au 0.268 0.732 0.500
Au3 Au 0.424 0.907 0.260
Au4 Au 0.576 0.093 0.740
Au5 Au 0.732 0.268 0.500
Au6 Au 0.907 0.424 0.260


# Li2ErIn2Ag2, optimized geometry, DFT PBE
# electronic total energy	-3.03	eV/atom
data_Li2ErIn2Ag2
_cell_length_a 7.680
_cell_length_b 7.680
_cell_length_c 7.680
_cell_angle_alpha 36.59
_cell_angle_beta 36.59
_cell_angle_gamma 36.59
_space_group_name_H-M_alt 'P 1'
_space_group_IT_number 1
_space_group_name_Hall 'P 1'
loop_
_atom_site_label
_atom_site_type_symbol
_atom_site_fract_x
_atom_site_fract_y
_atom_site_fract_z
Li1 Li 0.142 0.142 0.142
Li2 Li 0.858 0.858 0.858
Er1 Er 0.000 0.000 0.000
In1 In 0.270 0.270 0.270
In2 In 0.730 0.730 0.730
Ag1 Ag 0.423 0.423 0.423
Ag2 Ag 0.577 0.577 0.577


# KCo2Te, optimized geometry, DFT PBE
# electronic total energy	-3.97	eV/atom
data_KCo2Te
_cell_length_a 4.639
_cell_length_b 5.895
_cell_length_c 7.270
_cell_angle_alpha 90.00
_cell_angle_beta 90.00
_cell_angle_gamma 90.00
_space_group_name_H-M_alt 'P 1'
_space_group_IT_number 1
_space_group_name_Hall 'P 1'
loop_
_atom_site_label
_atom_site_type_symbol
_atom_site_fract_x
_atom_site_fract_y
_atom_site_fract_z
K1 K 0.000 0.000 0.000
K2 K 0.500 0.500 0.500
Co1 Co 0.000 0.500 0.149
Co2 Co 0.000 0.500 0.851
Co3 Co 0.500 0.000 0.351
Co4 Co 0.500 0.000 0.649
Te1 Te 0.000 0.000 0.500
Te2 Te 0.500 0.500 0.000


# SiSeBr, optimized geometry, DFT PBE
# energy above the most stable polymorph in this dataset	13	meV per atom
data_SiSeBr
_cell_length_a 3.568
_cell_length_b 7.571
_cell_length_c 8.608
_cell_angle_alpha 68.28
_cell_angle_beta 78.51
_cell_angle_gamma 78.01
_space_group_name_H-M_alt 'P 1'
_space_group_IT_number 1
_space_group_name_Hall 'P 1'
loop_
_atom_site_label
_atom_site_type_symbol
_atom_site_fract_x
_atom_site_fract_y
_atom_site_fract_z
Si1 Si 0.000 0.000 0.000
Si2 Si 0.125 0.036 0.707
Se1 Se 0.515 0.812 0.140
Se2 Se 0.728 0.876 0.640
Br1 Br 0.062 0.348 0.551
Br2 Br 0.858 0.287 0.030


# CaYCu2, optimized geometry, DFT PBE
# electronic total energy	-4.20	eV/atom
data_CaYCu2
_cell_length_a 3.446
_cell_length_b 3.446
_cell_length_c 7.602
_cell_angle_alpha 90.00
_cell_angle_beta 90.00
_cell_angle_gamma 90.00
_space_group_name_H-M_alt 'P 1'
_space_group_IT_number 1
_space_group_name_Hall 'P 1'
loop_
_atom_site_label
_atom_site_type_symbol
_atom_site_fract_x
_atom_site_fract_y
_atom_site_fract_z
Ca1 Ca 0.000 0.000 0.000
Y1 Y 0.500 0.500 0.607
Cu1 Cu 0.000 0.000 0.386
Cu2 Cu 0.500 0.500 0.243


# TePt4Rh, optimized geometry, DFT PBE
# electronic total energy	-5.52	eV/atom
data_TePt4Rh
_cell_length_a 5.309
_cell_length_b 5.309
_cell_length_c 5.309
_cell_angle_alpha 60.00
_cell_angle_beta 60.00
_cell_angle_gamma 60.00
_space_group_name_H-M_alt 'P 1'
_space_group_IT_number 1
_space_group_name_Hall 'P 1'
loop_
_atom_site_label
_atom_site_type_symbol
_atom_site_fract_x
_atom_site_fract_y
_atom_site_fract_z
Te1 Te 0.000 0.000 0.000
Pt1 Pt 0.376 0.376 0.376
Pt2 Pt 0.376 0.376 0.873
Pt3 Pt 0.376 0.873 0.376
Pt4 Pt 0.873 0.376 0.376
Rh1 Rh 0.750 0.750 0.750


# Dy2PuCu9, optimized geometry, DFT PBE
# electronic total energy	-5.15	eV/atom
data_Dy2PuCu9
_cell_length_a 8.754
_cell_length_b 8.754
_cell_length_c 8.754
_cell_angle_alpha 34.56
_cell_angle_beta 34.56
_cell_angle_gamma 34.56
_space_group_name_H-M_alt 'P 1'
_space_group_IT_number 1
_space_group_name_Hall 'P 1'
loop_
_atom_site_label
_atom_site_type_symbol
_atom_site_fract_x
_atom_site_fract_y
_atom_site_fract_z
Dy1 Dy 0.142 0.142 0.142
Dy2 Dy 0.858 0.858 0.858
Pu1 Pu 0.000 0.000 0.000
Cu1 Cu 0.083 0.582 0.582
Cu2 Cu 0.332 0.332 0.332
Cu3 Cu 0.418 0.418 0.917
Cu4 Cu 0.418 0.917 0.418
Cu5 Cu 0.500 0.500 0.500
Cu6 Cu 0.582 0.083 0.582
Cu7 Cu 0.582 0.582 0.083
Cu8 Cu 0.668 0.668 0.668
Cu9 Cu 0.917 0.418 0.418


# SiPdI, optimized geometry, DFT PBE
# electronic total energy	-3.90	eV/atom
data_SiPdI
_cell_length_a 10.849
_cell_length_b 3.830
_cell_length_c 6.624
_cell_angle_alpha 90.00
_cell_angle_beta 90.00
_cell_angle_gamma 90.00
_space_group_name_H-M_alt 'P 1'
_space_group_IT_number 1
_space_group_name_Hall 'P 1'
loop_
_atom_site_label
_atom_site_type_symbol
_atom_site_fract_x
_atom_site_fract_y
_atom_site_fract_z
Si1 Si 0.115 0.000 0.000
Si2 Si 0.115 0.500 0.500
Si3 Si 0.885 0.000 0.000
Si4 Si 0.885 0.500 0.500
Pd1 Pd 0.000 0.000 0.662
Pd2 Pd 0.000 0.500 0.162
Pd3 Pd 0.500 0.000 0.801
Pd4 Pd 0.500 0.500 0.301
I1 I 0.322 0.000 0.306
I2 I 0.322 0.500 0.806
I3 I 0.678 0.000 0.306
I4 I 0.678 0.500 0.806


# CaPd2C, optimized geometry, DFT PBE
# electronic total energy	-5.47	eV/atom
data_CaPd2C
_cell_length_a 4.674
_cell_length_b 5.217
_cell_length_c 6.044
_cell_angle_alpha 81.41
_cell_angle_beta 89.87
_cell_angle_gamma 66.12
_space_group_name_H-M_alt 'P 1'
_space_group_IT_number 1
_space_group_name_Hall 'P 1'
loop_
_atom_site_label
_atom_site_type_symbol
_atom_site_fract_x
_atom_site_fract_y
_atom_site_fract_z
Ca1 Ca 0.000 0.000 0.000
Ca2 Ca 0.284 0.439 0.642
Pd1 Pd 0.354 0.376 0.175
Pd2 Pd 0.610 0.765 0.375
Pd3 Pd 0.656 0.673 0.894
Pd4 Pd 0.941 0.136 0.452
C1 C 0.745 0.908 0.635
C2 C 0.886 0.460 0.190


Number 1: calculated density 9234 kg/m3. Number 2: calculated density 11046 kg/m3. Number 3: calculated density 9964 kg/m3. Number 4: calculated density 11979 kg/m3. Number 5: calculated density 7219 kg/m3. Number 6: calculated density 4753 kg/m3. Number 7: calculated density 2965 kg/m3. Number 8: calculated density 4712 kg/m3. Number 9: calculated density 15866 kg/m3. Number 10: calculated density 9837 kg/m3. Number 11: calculated density 6309 kg/m3. Number 12: calculated density 6618 kg/m3.